Here is a relaxed structure of Dy3BWO9 from Alexandria. Energies are from PBEsol.

Results
Energy relative to the elements, uncorrected (meV/atom): -3114

a = 8.4146 Å, b = 8.4146 Å, c = 5.3073 Å
α = 90.00°, β = 90.00°, γ = 120.00°
Space group P6_3 (No. 173)
Unique sites:
1 Dy 0.0837 0.7256 0.0000 [6 per cell]
2 B 0.0000 0.0000 0.1648 [2 per cell]
3 W 0.3333 0.6667 0.5437 [2 per cell]
4 O 0.0559 0.8720 0.6548 [6 per cell]
5 O 0.1320 0.5132 0.7790 [6 per cell]
6 O 0.1954 0.4643 0.3325 [6 per cell]

=====

Here is a relaxed structure of Dy2B6Os from Alexandria. Energies are from PBEsol.

Results
E_form (eV per atom): -0.72

a = 9.1003 Å, b = 11.4604 Å, c = 3.6186 Å
α = 90.00°, β = 90.00°, γ = 90.00°
Space group Pbam (No. 55)
Unique sites:
1 Dy 0.0564 0.1272 0.0000 [4 per cell]
2 Dy 0.1779 0.4138 0.0000 [4 per cell]
3 B 0.0170 0.2872 0.5000 [4 per cell]
4 B 0.0535 0.5669 0.5000 [4 per cell]
5 B 0.1081 0.9700 0.5000 [4 per cell]
6 B 0.1314 0.8145 0.5000 [4 per cell]
7 B 0.2093 0.2333 0.5000 [4 per cell]
8 B 0.2478 0.5799 0.5000 [4 per cell]
9 Os 0.1373 0.6785 0.0000 [4 per cell]

=====

Here is a relaxed structure of Dy2ReB6 from Alexandria. Energies are from PBEsol.

Results
E_form (eV per atom): -0.70

a = 9.1252 Å, b = 11.4894 Å, c = 3.6403 Å
α = 90.00°, β = 90.00°, γ = 90.00°
Space group Pbam (No. 55)
Unique sites:
1 Dy 0.0575 0.1300 0.0000 [4 per cell]
2 Dy 0.1771 0.4138 0.0000 [4 per cell]
3 Re 0.1383 0.6793 0.0000 [4 per cell]
4 B 0.0182 0.2882 0.5000 [4 per cell]
5 B 0.0531 0.5670 0.5000 [4 per cell]
6 B 0.0998 0.9721 0.5000 [4 per cell]
7 B 0.1303 0.8143 0.5000 [4 per cell]
8 B 0.2085 0.2346 0.5000 [4 per cell]
9 B 0.2488 0.5811 0.5000 [4 per cell]

=====

Computed values of DOS(E_F) (unit: states/eV/cell) for the preceding records, in sequence: 0.00; 3.31; 9.65.